Below is a relaxed TlTc2Os crystal, with properties calculated at the PBE-GGA level.

Unit cell a=6.391 b=6.391 c=6.391 alpha=90.00 beta=90.00 gamma=90.00
Space group F-43m (No. 216)
Inequivalent atoms, fractional coordinates:
Tl: 0.000 0.000 0.000 x4
Tc: 0.000 0.000 0.500 x4
Tc: 0.250 0.250 0.750 x4
Os: 0.250 0.250 0.250 x4

Summary:
Uncorrected energy in Ry per atom: -0.5716